Ba2ErAgSe4 after structural relaxation, computed with PBE-GGA.

## Properties
**Crystal system**: monoclinic
**Calculated volume**: 30.14 Å³/atom
**Raw formation energy**: -1.524 eV per atom
**Space group**: P2/m, No. 10
**DFT total energy**: -37.39 eV per cell

Cell lengths 7.559, 4.394, 7.751 Å; angles 90.00, 110.55, 90.00 degrees
Atoms (fractional coordinates):
1 Ba 0.000 0.000 0.000
2 Ba 0.000 0.500 0.500
3 Er 0.500 0.000 0.500
4 Ag 0.500 0.500 0.000
5 Se 0.282 0.500 0.276
6 Se 0.294 0.000 0.753
7 Se 0.706 0.000 0.247
8 Se 0.718 0.500 0.724

---

YInTc3 after structural relaxation, computed with PBE-GGA.

## Properties
**Crystal system**: cubic
**D(E_F)**: 1.578 states/eV/atom
**Calculated volume**: 23.28 Å³/atom
**Energy of formation from the pure elements**: 2.096 eV/atom
**Distance to the lowest polymorph of the same formula**: 454 meV/atom
**Space group**: Pm-3m, No. 221
**DFT total energy**: -29.82 eV per cell

Cell lengths 4.882, 4.882, 4.882 Å; angles 90.00, 90.00, 90.00 degrees
Atoms (fractional coordinates):
1 Y 0.000 0.000 0.000
2 In 0.500 0.500 0.500
3 Tc 0.000 0.000 0.500
4 Tc 0.000 0.500 0.000
5 Tc 0.500 0.000 0.000

---

HoPu2Se4 after structural relaxation, computed with PBE-GGA.

## Properties
**Crystal system**: orthorhombic
**D(E_F)**: 2.734 states/eV/atom
**Calculated volume**: 26.99 Å³/atom
**Raw formation energy**: -1.580 eV per atom
**Space group**: Cmcm, No. 63
**DFT total energy**: -116.48 eV per cell

Cell lengths 7.087, 7.087, 13.903 Å; angles 90.00, 90.00, 147.24 degrees
Atoms (fractional coordinates):
1 Ho 0.122 0.878 0.750
2 Ho 0.878 0.122 0.250
3 Pu 0.367 0.633 0.569
4 Pu 0.367 0.633 0.931
5 Pu 0.633 0.367 0.069
6 Pu 0.633 0.367 0.431
7 Se 0.000 0.000 0.000
8 Se 0.000 0.000 0.500
9 Se 0.279 0.721 0.126
10 Se 0.279 0.721 0.374
11 Se 0.472 0.528 0.750
12 Se 0.528 0.472 0.250
13 Se 0.721 0.279 0.626
14 Se 0.721 0.279 0.874

---

TbMn3Fe3 after structural relaxation, computed with PBE-GGA.

## Properties
**Crystal system**: cubic
**D(E_F)**: 1.530 states/eV/atom
**Calculated volume**: 15.92 Å³/atom
**Energy of formation from the pure elements**: 0.594 eV/atom
**Space group**: Pm-3n, No. 223
**DFT total energy**: -106.74 eV per cell

Cell lengths 6.063, 6.063, 6.063 Å; angles 90.00, 90.00, 90.00 degrees
Atoms (fractional coordinates):
1 Tb 0.000 0.000 0.000
2 Tb 0.500 0.500 0.500
3 Mn 0.000 0.250 0.500
4 Mn 0.000 0.750 0.500
5 Mn 0.250 0.500 0.000
6 Mn 0.500 0.000 0.250
7 Mn 0.500 0.000 0.750
8 Mn 0.750 0.500 0.000
9 Fe 0.000 0.500 0.250
10 Fe 0.000 0.500 0.750
11 Fe 0.250 0.000 0.500
12 Fe 0.500 0.250 0.000
13 Fe 0.500 0.750 0.000
14 Fe 0.750 0.000 0.500

---

ZrTaV2Pd after structural relaxation, computed with PBE-GGA.

## Properties
**Crystal system**: tetragonal
**D(E_F)**: 1.442 states/eV/atom
**Calculated volume**: 20.86 Å³/atom
**Energy of formation from the pure elements**: 1.716 eV/atom
**Space group**: P4/mmm, No. 123
**DFT total energy**: -35.25 eV per cell

Cell lengths 4.576, 4.576, 4.982 Å; angles 90.00, 90.00, 90.00 degrees
Atoms (fractional coordinates):
1 Zr 0.000 0.000 0.000
2 Ta 0.000 0.000 0.500
3 V 0.000 0.500 0.000
4 V 0.500 0.000 0.000
5 Pd 0.500 0.500 0.500

---

CsRb2NdCl6 after structural relaxation, computed with PBE-GGA.

## Properties
**Crystal system**: trigonal
**D(E_F)**: 0.000 states/eV/atom
**Calculated volume**: 40.78 Å³/atom
**Raw formation energy**: -2.125 eV per atom
**Space group**: R3, No. 146
**DFT total energy**: -39.89 eV per cell

Cell lengths 8.493, 8.493, 8.493 Å; angles 57.46, 57.46, 57.46 degrees
Atoms (fractional coordinates):
1 Cs 0.000 0.000 0.000
2 Rb 0.280 0.280 0.280
3 Rb 0.790 0.790 0.790
4 Nd 0.489 0.489 0.489
5 Cl 0.146 0.669 0.402
6 Cl 0.249 0.593 0.825
7 Cl 0.402 0.146 0.669
8 Cl 0.593 0.825 0.249
9 Cl 0.669 0.402 0.146
10 Cl 0.825 0.249 0.593

---

> What is the DFT total energy in the fourth record?

-106.74 eV per cell

---

> Look up the DFT total energy of the second one.

-29.82 eV per cell